Entry 1:
## Fe2SiCl (PBE)

Data for a relaxed structure of Fe2SiCl.

Cell: 3.118 2.918 6.321 Å, 90.00 90.09 90.00°
Space group P2/m (No. 10)
Asymmetric unit:
Fe: 0.000 0.000 0.184 [2 per cell]
Si: 0.500 0.500 0.000 [1 per cell]
Cl: 0.000 0.500 0.500 [1 per cell]

Values from the calculation:
Distance to the lowest polymorph of the same formula   25 meV/atom
Raw formation energy   -58 meV/atom

---

Entry 2:
## ZrTe2Pt (PBE)

Data for a relaxed structure of ZrTe2Pt.

Cell: 3.8093 3.8093 22.6359 Å, 90.00 90.00 120.00°
Space group R-3m (No. 166, hexagonal axes)
Asymmetric unit:
Zr: 0.0000 0.0000 0.0000 [3 per cell]
Te: 0.0000 0.0000 0.2434 [6 per cell]
Pt: 0.0000 0.0000 0.5000 [3 per cell]

Values from the calculation:
Distance to the lowest polymorph of the same formula   417 meV/atom
Raw formation energy   -245 meV/atom

---

Entry 3:
## GeAsHOs2 (PBE)

Data for a relaxed structure of GeAsHOs2.

Cell: 4.698 4.698 3.169 Å, 90.00 90.00 90.00°
Space group P4/mmm (No. 123)
Asymmetric unit:
Ge: 0.000 0.000 0.000 [1 per cell]
As: 0.500 0.500 0.500 [1 per cell]
H: 0.500 0.500 0.000 [1 per cell]
Os: 0.000 0.500 0.500 [2 per cell]

---

Entry 4:
## CaInNi2 (PBE)

Data for a relaxed structure of CaInNi2.

Cell: 3.176 4.546 9.772 Å, 90.00 90.00 90.00°
Space group Imm2 (No. 44)
Asymmetric unit:
Ca: 0.000 0.000 0.000 [2 per cell]
In: 0.000 0.500 0.786 [2 per cell]
Ni: 0.000 0.000 0.522 [2 per cell]
Ni: 0.000 0.500 0.217 [2 per cell]

---

Entry 5:
## ZnSb2TePb (PBE)

Data for a relaxed structure of ZnSb2TePb.

Cell: 5.878 5.878 5.883 Å, 90.00 90.00 90.00°
Space group P4/mmm (No. 123)
Asymmetric unit:
Zn: 0.000 0.000 0.000 [1 per cell]
Sb: 0.000 0.500 0.500 [2 per cell]
Te: 0.500 0.500 0.000 [1 per cell]
Pb: 0.500 0.500 0.500 [1 per cell]

Values from the calculation:
Distance to the lowest polymorph of the same formula   567 meV/atom
Raw formation energy   897 meV/atom

---

Entry 6:
## ErZrTlPt (PBE)

Data for a relaxed structure of ErZrTlPt.

Cell: 7.073 7.073 7.073 Å, 90.00 90.00 90.00°
Space group F-43m (No. 216)
Asymmetric unit:
Er: 0.000 0.000 0.000 [4 per cell]
Zr: 0.000 0.000 0.500 [4 per cell]
Tl: 0.250 0.250 0.250 [4 per cell]
Pt: 0.250 0.250 0.750 [4 per cell]

---

Entry 7:
## RbOsNO2 (PBE)

Data for a relaxed structure of RbOsNO2.

Cell: 4.034 4.034 3.866 Å, 90.00 90.00 90.00°
Space group P4/mmm (No. 123)
Asymmetric unit:
Rb: 0.000 0.000 0.000 [1 per cell]
Os: 0.500 0.500 0.500 [1 per cell]
N: 0.500 0.500 0.000 [1 per cell]
O: 0.000 0.500 0.500 [2 per cell]

Values from the calculation:
Raw formation energy   -530 meV/atom

---

Entry 8:
## Ba2TmCdAu6 (PBE)

Data for a relaxed structure of Ba2TmCdAu6.

Cell: 10.860 10.860 10.860 Å, 90.00 90.00 90.00°
Space group Fm-3m (No. 225)
Asymmetric unit:
Ba: 0.250 0.250 0.250 [8 per cell]
Tm: 0.000 0.000 0.000 [4 per cell]
Cd: 0.000 0.000 0.500 [4 per cell]
Au: 0.000 0.000 0.252 [24 per cell]

---

Entry 9:
## YCu2Ag (PBE)

Data for a relaxed structure of YCu2Ag.

Cell: 7.534 4.350 5.230 Å, 90.00 118.54 90.00°
Space group Cm (No. 8)
Asymmetric unit:
Y: 0.000 0.000 0.000 [2 per cell]
Cu: 0.287 0.500 0.361 [2 per cell]
Cu: 0.459 0.000 0.377 [2 per cell]
Ag: 0.213 0.000 0.638 [2 per cell]

Values from the calculation:
Distance to the lowest polymorph of the same formula   4 meV/atom

---

Entry 10:
## CsUHg2F8 (PBE)

Data for a relaxed structure of CsUHg2F8.

Cell: 5.9538 5.9538 9.1836 Å, 90.00 90.00 120.00°
Space group P-3m1 (No. 164)
Asymmetric unit:
Cs: 0.0000 0.0000 0.0000 [1 per cell]
U: 0.0000 0.0000 0.5000 [1 per cell]
Hg: 0.3333 0.6667 0.2523 [2 per cell]
F: 0.1599 0.3198 0.6376 [6 per cell]
F: 0.3333 0.6667 0.0142 [2 per cell]

Values from the calculation:
Raw formation energy   -2417 meV/atom

---

Entry 11:
## LiSiB (PBE)

Data for a relaxed structure of LiSiB.

Cell: 10.595 3.158 5.022 Å, 90.00 90.00 90.00°
Space group Pnma (No. 62)
Asymmetric unit:
Li: 0.184 0.250 0.239 [4 per cell]
Si: 0.071 0.750 0.613 [4 per cell]
B: 0.000 0.000 0.000 [4 per cell]

Values from the calculation:
Raw formation energy   174 meV/atom

---

Entry 12:
## AcSmZn3 (PBE)

Data for a relaxed structure of AcSmZn3.

Cell: 3.829 27.934 4.679 Å, 90.00 90.00 90.00°
Space group Cmcm (No. 63)
Asymmetric unit:
Ac: 0.000 0.075 0.250 [4 per cell]
Sm: 0.000 0.209 0.750 [4 per cell]
Zn: 0.000 0.323 0.750 [4 per cell]
Zn: 0.000 0.377 0.250 [4 per cell]
Zn: 0.000 0.476 0.250 [4 per cell]

---

Number 1: size of the total moment 3.9 Bohr magnetons per cell, calculated total energy -6.11 eV/atom, calculated volume 14.4 Å³/atom. Number 2: size of the total moment 0.0 Bohr magnetons per cell, calculated total energy -5.46 eV/atom, calculated volume 23.7 Å³/atom. Number 3: size of the total moment 0.0 Bohr magnetons per cell, calculated total energy -6.13 eV/atom, calculated volume 14.0 Å³/atom. Number 4: size of the total moment 0.0 Bohr magnetons per cell, calculated total energy -4.12 eV/atom, calculated volume 17.6 Å³/atom. Number 5: size of the total moment 1.0 Bohr magnetons per cell, calculated total energy -2.38 eV/atom, calculated volume 40.6 Å³/atom. Number 6: size of the total moment 0.0 Bohr magnetons per cell, calculated total energy -5.87 eV/atom, calculated volume 22.1 Å³/atom. Number 7: size of the total moment 0.0 Bohr magnetons per cell, calculated total energy -6.62 eV/atom, calculated volume 12.6 Å³/atom. Number 8: size of the total moment 0.0 Bohr magnetons per cell, calculated total energy -3.25 eV/atom, calculated volume 32.0 Å³/atom. Number 9: size of the total moment 0.0 Bohr magnetons per cell, calculated total energy -4.51 eV/atom, calculated volume 18.8 Å³/atom. Number 10: size of the total moment 2.6 Bohr magnetons per cell, calculated total energy -4.73 eV/atom, calculated volume 23.5 Å³/atom. Number 11: size of the total moment 0.0 Bohr magnetons per cell, calculated total energy -4.50 eV/atom, calculated volume 14.0 Å³/atom. Number 12: size of the total moment 0.0 Bohr magnetons per cell, calculated total energy -2.81 eV/atom, calculated volume 25.0 Å³/atom.